Na2Ac2AuO6 | PBE | relaxed

Computed properties:
Fermi-level density of states ... 0.45 states/eV/f.u.
Formation energy (no corrections) ... -1899 kJ/mol of formula units

a = 6.406 Å, b = 6.406 Å, c = 5.854 Å
α = 95.61°, β = 95.61°, γ = 121.34°
Fractional coordinates of all 11 atoms:
Na (0.126, 0.874, 0.000)
Na (0.874, 0.126, 0.000)
Ac (0.339, 0.661, 0.500)
Ac (0.661, 0.339, 0.500)
Au (0.000, 0.000, 0.500)
O (0.024, 0.343, 0.698)
O (0.229, 0.229, 0.291)
O (0.343, 0.024, 0.698)
O (0.657, 0.976, 0.302)
O (0.771, 0.771, 0.709)
O (0.976, 0.657, 0.302)